This record from Alexandria via LeMat-Bulk describes a relaxed BaTaTc3 crystal. The functional is PBE-GGA. Values from VASP.

Results
- Energy of formation from the pure elements: 3.05 eV/atom

Quantum ESPRESSO input file:
```
&SYSTEM
  ibrav = 0, nat = 5, ntyp = 3
/
ATOMIC_SPECIES
Tc 98.00 Tc.upf
Ba 137.33 Ba.upf
Ta 180.95 Ta.upf
ATOMIC_POSITIONS angstrom
Tc -1.5308 -0.2346 1.8556
Tc 0.1763 2.3691 0.4450
Tc -1.8620 0.4172 -1.4834
Ba 0.0000 0.0000 0.0000
Ta -3.2165 2.5517 0.8172
CELL_PARAMETERS angstrom
-3.7240 0.8344 -2.9668
-3.0616 -0.4692 3.7111
0.3526 4.7381 0.8899
```